Computed, not measured: crystalline NdTm2Cu6 at its relaxed geometry at the PBE level of DFT.

The energy relative to the elements comes out at -23.1 kJ/mol of atoms. The value obtained for the total moment is 0.00 Bohr magnetons per cell. The space-group type is P6/mmm.

Lattice parameters (Å, degrees): 7.321 7.321 3.597 90.00 90.00 120.00
Element x y z (fractional)
Nd  0.000  0.000  0.000
Tm  0.333  0.667  0.000
Tm  0.667  0.333  0.000
Cu  0.000  0.336  0.500
Cu  0.000  0.664  0.500
Cu  0.336  0.000  0.500
Cu  0.336  0.336  0.500
Cu  0.664  0.000  0.500
Cu  0.664  0.664  0.500